[1]
# Si2AgCl

A geometry-optimized Si2AgCl structure (GGA-PBEsol, Alexandria via LeMat-Bulk).

Unit cell a=4.5611 b=4.5611 c=4.5611 alpha=60.00 beta=60.00 gamma=60.00
Element x y z (fractional)
Si 0.2500 0.2500 0.2500
Si 0.7500 0.7500 0.7500
Ag 0.0000 0.0000 0.0000
Cl 0.5000 0.5000 0.5000

Summary:
The formation energy without anion corrections is 529 meV/atom. The space group is Fm-3m. The density of states at the Fermi level is 0.4019 states/eV per atom.



[2]
# Ta3AlPb

A geometry-optimized Ta3AlPb structure (GGA-PBEsol, Alexandria via LeMat-Bulk).

Unit cell a=5.0258 b=5.0258 c=5.0258 alpha=90.00 beta=90.00 gamma=90.00
Element x y z (fractional)
Ta 0.0000 0.0000 0.5000
Ta 0.0000 0.5000 0.0000
Ta 0.5000 0.0000 0.0000
Al 0.5000 0.5000 0.5000
Pb 0.0000 0.0000 0.0000

Summary:
As for the formation energy: 1151 kJ/mol of formula units. The space group is Pm-3m. The density of states at the Fermi level is 1.5776 states/eV per atom.